1.
A plane-wave DFT calculation with PBE was carried out for crystalline BiHAuIN at its relaxed geometry.

Summary:
Magnetization in μB/cell: 0.00
Energy in eV per atom: -3.851
Calculated volume in A^3/atom: 23.86
Excess energy over the best structure of this formula in the dataset in meV per atom: 119.2
Symmetry: No. 1

Unit cell a=3.534 b=5.736 c=5.892 alpha=87.06 beta=90.02 gamma=89.81
Atoms (fractional coordinates):
Au  0.266  0.465  0.377
H  0.766  0.836  0.003
I  0.265  0.970  0.363
N  0.766  0.731  0.866
Bi  0.268  0.500  0.879


2.
A plane-wave DFT calculation with PBE was carried out for crystalline TeRhAu4 at its relaxed geometry.

Summary:
Magnetization in μB/cell: 0.00
Energy in eV per atom: -3.589
Calculated volume in A^3/atom: 19.75
Symmetry: No. 216

Unit cell a=5.513 b=5.513 c=5.513 alpha=60.00 beta=60.00 gamma=60.00
Atoms (fractional coordinates):
Au  0.375  0.874  0.375
Au  0.375  0.375  0.874
Au  0.874  0.375  0.375
Au  0.375  0.375  0.375
Rh  0.750  0.750  0.750
Te  0.000  0.000  0.000